A relaxed Fe2HRuS crystal, computed with GGA-PBE.

```
Fe2HRuS
1.0
3.570 0.000 0.000
0.000 3.570 0.000
0.000 0.000 4.241
Fe H Ru S
2 1 1 1
Direct
0.000 0.500 0.000
0.500 0.000 0.000
0.000 0.000 0.000
0.000 0.000 0.500
0.500 0.500 0.500
```

## Properties
V = 54.1 Å³ per cell
symmetry = No. 123
uncorrected energy = -0.472 Ry/atom
size of the total moment = 5.84 μB/f.u.